[1]
The following is a PBE-GGA calculation of a relaxed ScAlH2Cl crystal, from Alexandria via LeMat-Bulk.

The total energy is -3.890 eV/atom. The calculation puts the total magnetic moment at 0.00 μB/atom.

Geometry as POSCAR:
```
ScAlH2Cl
1.0
3.921 0.000 0.000
0.000 3.921 0.000
0.000 0.000 5.963
Sc Al H Cl
1 1 2 1
direct
0.000 0.000 0.000 Sc
0.000 0.000 0.500 Al
0.000 0.500 0.000 H
0.500 0.000 0.000 H
0.500 0.500 0.500 Cl
```

[2]
The following is a PBE-GGA calculation of a relaxed CeThZrN3 crystal, from Alexandria via LeMat-Bulk.

As for the energy relative to the elements, uncorrected: -1.25 eV per atom. The total energy is -9.063 eV/atom. The calculation puts the total magnetic moment at 0.00 μB/atom.

Geometry as POSCAR:
```
CeThZrN3
1.0
7.259 0.000 0.000
0.000 3.420 0.000
-0.985 0.000 8.397
Ce Th Zr N
2 2 2 6
direct
0.108 0.250 0.346 Ce
0.892 0.750 0.654 Ce
0.410 0.750 0.669 Th
0.590 0.250 0.331 Th
0.165 0.250 0.950 Zr
0.835 0.750 0.050 Zr
0.129 0.750 0.105 N
0.162 0.250 0.667 N
0.361 0.750 0.400 N
0.639 0.250 0.600 N
0.838 0.750 0.333 N
0.871 0.250 0.895 N
```

[3]
The following is a PBE-GGA calculation of a relaxed PmCr2GeC crystal, from Alexandria via LeMat-Bulk.

The formation enthalpy at 0 K is -68 kJ/mol of formula units. The total energy is -7.709 eV/atom. The calculation puts the total magnetic moment at 0.09 μB/atom.

Geometry as POSCAR:
```
PmCr2GeC
1.0
2.659 -5.670 0.000
2.659 5.670 0.000
0.000 0.000 5.381
Pm Cr Ge C
2 4 2 2
direct
0.249 0.751 0.750 Pm
0.751 0.249 0.250 Pm
0.268 0.268 0.000 Cr
0.268 0.268 0.500 Cr
0.732 0.732 0.000 Cr
0.732 0.732 0.500 Cr
0.133 0.867 0.250 Ge
0.867 0.133 0.750 Ge
0.444 0.556 0.250 C
0.556 0.444 0.750 C
```

[4]
The following is a PBE-GGA calculation of a relaxed Pu3Ga2Ni4 crystal, from Alexandria via LeMat-Bulk.

The formation enthalpy at 0 K is -188 kJ/mol of formula units. The total energy is -8.236 eV/atom. The calculation puts the total magnetic moment at 1.72 μB/atom.

Geometry as POSCAR:
```
Pu3Ga2Ni4
1.0
4.182 0.000 0.000
-2.091 3.621 0.000
0.000 0.000 10.242
Pu Ga Ni
3 2 4
direct
0.000 0.000 0.000 Pu
0.333 0.667 0.578 Pu
0.667 0.333 0.422 Pu
0.333 0.667 0.218 Ga
0.667 0.333 0.782 Ga
0.000 0.000 0.284 Ni
0.000 0.000 0.716 Ni
0.333 0.667 0.837 Ni
0.667 0.333 0.163 Ni
```